Entry 1:
A crystal of Cr2CuSb relaxed with PBEsol. Source: the Alexandria database, functional SCAN.

Computed properties:
Raw formation energy ... 54 meV/atom

Unit cell a=3.9195 b=3.9195 c=7.4686 alpha=90.00 beta=90.00 gamma=90.00
With the nearest neighbours (Å) after each atom.
Space group I-4m2 (No. 119)
Asymmetric unit:
Cr1 0.0000 0.0000 0.0000 (multiplicity 2)  4 Cr 2.71, 4 Sb 2.71, 4 Cu 2.77
Cr2 0.0000 0.5000 0.2500 (multiplicity 2)  4 Cr 2.71, 4 Cu 2.71, 4 Sb 2.77
Cu1 0.0000 0.0000 0.5000 (multiplicity 2)  8 Cr 2.71-2.77, 4 Sb 2.71
Sb1 0.0000 0.5000 0.7500 (multiplicity 2)  8 Cr 2.71-2.77, 4 Cu 2.71



Entry 2:
A crystal of InHg2Cl relaxed with PBEsol. Source: the Alexandria database, functional SCAN.

Computed properties:
Raw formation energy ... -274 meV/atom
ΔE to the lowest computed polymorph ... 0.1179 eV per atom

Unit cell a=3.2716 b=5.2937 c=5.6951 alpha=90.00 beta=90.00 gamma=90.00
With the nearest neighbours (Å) after each atom.
Space group Pmmm (No. 47)
Asymmetric unit:
In1 0.0000 0.0000 0.0000 (multiplicity 1)  2 Cl 2.85
Hg1 0.5000 0.5000 0.2555 (multiplicity 2)  2 Hg 2.78-2.91
Cl1 0.0000 0.0000 0.5000 (multiplicity 1)  2 In 2.85



Entry 3:
A crystal of Cr3HgPd relaxed with PBEsol. Source: the Alexandria database, functional SCAN.

Computed properties:
ΔH_f (0 K) ... 1325 meV per atom

Unit cell a=4.9232 b=4.9232 c=4.9232 alpha=90.00 beta=90.00 gamma=90.00
With the nearest neighbours (Å) after each atom.
Space group Pm-3m (No. 221)
Asymmetric unit:
Cr1 0.0000 0.0000 0.5000 (multiplicity 3)  2 Hg 2.46
Hg1 0.0000 0.0000 0.0000 (multiplicity 1)  6 Cr 2.46
Pd1 0.5000 0.5000 0.5000 (multiplicity 1)  12 Cr 3.48



Entry 4:
A crystal of AlPPt2 relaxed with PBEsol. Source: the Alexandria database, functional SCAN.

Computed properties:
ΔE to the lowest computed polymorph ... 0.0000 eV per atom
ΔH_f (0 K) ... -643 meV per atom

Unit cell a=3.9964 b=3.9964 c=15.7433 alpha=90.00 beta=90.00 gamma=90.00
With the nearest neighbours (Å) after each atom.
Space group I-42d (No. 122)
Asymmetric unit:
Al1 0.0000 0.0000 0.0000 (multiplicity 4)  4 Pt 2.45
P1 0.0000 0.0000 0.5000 (multiplicity 4)  4 Pt 2.40
Pt1 0.2330 0.2500 0.6250 (multiplicity 8)  2 P 2.40, 2 Al 2.45



Entry 5:
A crystal of Cd2InTc relaxed with PBEsol. Source: the Alexandria database, functional SCAN.

Computed properties:
ΔH_f (0 K) ... 354 meV per atom

Unit cell a=5.7570 b=10.1707 c=2.9049 alpha=90.00 beta=119.53 gamma=90.00
With the nearest neighbours (Å) after each atom.
Space group C2/m (No. 12)
Asymmetric unit:
Cd1 0.2500 0.2500 0.0000 (multiplicity 4)  6 Cd 2.88-2.91, 2 In 2.93, 2 Tc 2.93
In1 0.0000 0.0000 0.5000 (multiplicity 2)  4 Tc 2.88-2.91, 2 In 2.90, 4 Cd 2.93
Tc1 0.0000 0.5000 0.5000 (multiplicity 2)  4 In 2.88-2.91, 2 Tc 2.90, 4 Cd 2.93



Entry 6:
A crystal of AgBiSb2 relaxed with PBEsol. Source: the Alexandria database, functional SCAN.

Computed properties:
Raw formation energy ... 187 meV/atom

Unit cell a=6.4499 b=6.4499 c=13.1191 alpha=90.00 beta=90.00 gamma=90.00
With the nearest neighbours (Å) after each atom.
Space group I-42d (No. 122)
Asymmetric unit:
Ag1 0.0000 0.0000 0.0000 (multiplicity 4)  4 Sb 2.67
Bi1 0.0000 0.0000 0.5000 (multiplicity 4)  4 Sb 2.96
Sb1 0.2113 0.2500 0.1250 (multiplicity 8)  2 Ag 2.67, 2 Bi 2.96



Entry 7:
A crystal of KSiIr2 relaxed with PBEsol. Source: the Alexandria database, functional SCAN.

Computed properties:
Raw formation energy ... 330 meV/atom

Unit cell a=4.8615 b=4.8615 c=15.9737 alpha=90.00 beta=90.00 gamma=90.00
With the nearest neighbours (Å) after each atom.
Space group I-42d (No. 122)
Asymmetric unit:
K1 0.0000 0.0000 0.0000 (multiplicity 4)  4 Ir 3.16, 4 Si 3.44
Si1 0.0000 0.0000 0.5000 (multiplicity 4)  4 Ir 2.36
Ir1 0.0632 0.2500 0.6250 (multiplicity 8)  2 Si 2.36, 2 Ir 2.51



Entry 8:
A crystal of Pr5Te7MoCl3O23 relaxed with PBEsol. Source: the Alexandria database, functional SCAN.

Computed properties:
Raw formation energy ... -2171 meV/atom

Unit cell a=7.6559 b=18.1211 c=18.2508 alpha=90.00 beta=97.08 gamma=90.00
With the nearest neighbours (Å) after each atom.
Space group C2 (No. 5)
Asymmetric unit:
Pr1 0.0000 0.9996 0.0000 (multiplicity 2)  8 O 2.38-2.64
Pr2 0.0000 0.4869 0.0000 (multiplicity 2)  6 O 2.35-2.46
Pr3 0.0596 0.0000 0.2376 (multiplicity 4)  8 O 2.39-2.66
Pr4 0.0608 0.4835 0.2373 (multiplicity 4)  8 O 2.39-2.65
Pr5 0.1332 0.8540 0.6368 (multiplicity 4)  7 O 2.36-2.52
Pr6 0.1337 0.6318 0.6366 (multiplicity 4)  7 O 2.36-2.52
Te1 0.0003 0.2442 0.2625 (multiplicity 4)  3 O 1.90-1.92
Te2 0.1284 0.0754 0.6094 (multiplicity 4)  3 O 1.87-1.91
Te3 0.1291 0.4106 0.6089 (multiplicity 4)  3 O 1.88-1.91
Te4 0.2183 0.6257 0.1158 (multiplicity 4)  3 O 1.89-1.98
Te5 0.2196 0.8608 0.1135 (multiplicity 4)  3 O 1.89-1.99
Te6 0.2395 0.6377 0.8582 (multiplicity 4)  2 O 1.88-1.91
Te7 0.2428 0.8486 0.8602 (multiplicity 4)  2 O 1.88-1.93
Mo1 0.2362 0.7428 0.4749 (multiplicity 4)  4 O 1.73-1.83
Cl1 0.0000 0.2807 0.0000 (multiplicity 2)  4 Te 3.26-3.48, 6 O 3.30-3.53
Cl2 0.0000 0.5431 0.5000 (multiplicity 2)  4 O 3.02-3.16, 2 Pr 3.04, 2 Te 3.19
Cl3 0.0000 0.7429 0.0000 (multiplicity 2)  4 Te 3.29-3.30, 4 O 3.55-3.57
Cl4 0.0000 0.9426 0.5000 (multiplicity 2)  4 O 3.01-3.16, 2 Pr 3.04, 2 Te 3.20
Cl5 0.0638 0.7428 0.2103 (multiplicity 4)  5 Te 3.06-3.36, 5 O 3.24-3.41
O1 0.0155 0.7429 0.4236 (multiplicity 4)  1 Mo 1.83
O2 0.0188 0.5807 0.8899 (multiplicity 4)  2 Te 1.98-2.12
O3 0.0197 0.9047 0.8916 (multiplicity 4)  2 Te 1.99-2.13
O4 0.0299 0.3195 0.1909 (multiplicity 4)  2 Te 1.92-2.14
O5 0.0307 0.1710 0.1890 (multiplicity 4)  2 Te 1.92-2.14
O6 0.0431 0.1059 0.3292 (multiplicity 4)  1 Te 1.91
O7 0.0430 0.3794 0.3303 (multiplicity 4)  1 Te 1.91
O8 0.1113 0.0576 0.1135 (multiplicity 4)  1 Te 1.88
O9 0.1136 0.2431 0.5887 (multiplicity 4)  1 Mo 1.73
O10 0.1153 0.4314 0.1138 (multiplicity 4)  1 Te 1.88
O11 0.1553 0.5008 0.6631 (multiplicity 4)  1 Te 1.91
O12 0.1559 0.9847 0.6631 (multiplicity 4)  1 Te 1.91
O13 0.1578 0.6083 0.3400 (multiplicity 4)  1 Te 1.87
O14 0.1578 0.8779 0.3396 (multiplicity 4)  1 Te 1.88
O15 0.1689 0.8953 0.7667 (multiplicity 4)  1 Te 1.93
O16 0.1695 0.5905 0.7659 (multiplicity 4)  1 Te 1.91
O17 0.2138 0.0567 0.8081 (multiplicity 4)  1 Te 1.89
O18 0.2154 0.4293 0.8093 (multiplicity 4)  1 Te 1.90
O19 0.2239 0.1620 0.4720 (multiplicity 4)  1 Mo 1.76
O20 0.2247 0.3237 0.4721 (multiplicity 4)  1 Mo 1.76
O21 0.2368 0.2431 0.3077 (multiplicity 4)  1 Te 1.90
O22 0.2437 0.0679 0.9670 (multiplicity 4)  1 Te 1.89
O23 0.2459 0.4235 0.9659 (multiplicity 4)  1 Te 1.89



Entry 9:
A crystal of ErPbAu relaxed with PBEsol. Source: the Alexandria database, functional SCAN.

Computed properties:
ΔH_f (0 K) ... -943 meV per atom

Unit cell a=6.6800 b=6.6800 c=6.6800 alpha=90.00 beta=90.00 gamma=90.00
With the nearest neighbours (Å) after each atom.
Space group F-43m (No. 216)
Asymmetric unit:
Er1 0.0000 0.0000 0.0000 (multiplicity 4)  4 Au 2.89
Pb1 0.0000 0.0000 0.5000 (multiplicity 4)  4 Au 2.89
Au1 0.2500 0.2500 0.7500 (multiplicity 4)  4 Pb 2.89, 4 Er 2.89



Entry 10:
A crystal of LiCa2Si relaxed with PBEsol. Source: the Alexandria database, functional SCAN.

Computed properties:
Raw formation energy ... -36 meV/atom

Unit cell a=7.1078 b=7.1078 c=7.1078 alpha=90.00 beta=90.00 gamma=90.00
With the nearest neighbours (Å) after each atom.
Space group F-43m (No. 216)
Asymmetric unit:
Li1 0.0000 0.0000 0.0000 (multiplicity 4)  4 Ca 3.08, 4 Si 3.08
Ca1 0.0000 0.0000 0.5000 (multiplicity 4)  4 Si 3.08, 4 Ca 3.08
Ca2 0.2500 0.2500 0.7500 (multiplicity 4)  4 Li 3.08, 4 Ca 3.08
Si1 0.2500 0.2500 0.2500 (multiplicity 4)  4 Li 3.08, 4 Ca 3.08



Entry 11:
A crystal of Ca2MgAgN relaxed with PBEsol. Source: the Alexandria database, functional SCAN.

Computed properties:
Raw formation energy ... -234 meV/atom

Unit cell a=4.8286 b=4.8286 c=4.4752 alpha=90.00 beta=90.00 gamma=90.00
With the nearest neighbours (Å) after each atom.
Space group P4/mmm (No. 123)
Asymmetric unit:
Ca1 0.0000 0.5000 0.0000 (multiplicity 2)  2 N 2.41
Mg1 0.0000 0.0000 0.5000 (multiplicity 1)  8 Ca 3.29, 4 Ag 3.41
Ag1 0.5000 0.5000 0.5000 (multiplicity 1)  2 N 2.24
N1 0.5000 0.5000 0.0000 (multiplicity 1)  2 Ag 2.24, 4 Ca 2.41



Entry 12:
A crystal of KYAu2 relaxed with PBEsol. Source: the Alexandria database, functional SCAN.

Computed properties:
ΔE to the lowest computed polymorph ... 0.0000 eV per atom
ΔH_f (0 K) ... -755 meV per atom

Unit cell a=3.6096 b=3.6096 c=7.9612 alpha=90.00 beta=90.00 gamma=90.00
With the nearest neighbours (Å) after each atom.
Space group P4/mmm (No. 123)
Asymmetric unit:
K1 0.0000 0.0000 0.0000 (multiplicity 1)  8 Au 3.56, 4 K 3.61, 2 Y 3.98
Y1 0.0000 0.0000 0.5000 (multiplicity 1)  8 Au 2.96
Au1 0.5000 0.5000 0.3119 (multiplicity 2)  4 Y 2.96, 1 Au 2.99



Entry 13:
A crystal of CaTi4O8 relaxed with PBEsol. Source: the Alexandria database, functional SCAN.

Computed properties:
Raw formation energy ... -3219 meV/atom
ΔE to the lowest computed polymorph ... 0.0037 eV per atom

Unit cell a=14.1874 b=2.9809 c=9.6419 alpha=90.00 beta=131.90 gamma=90.00
With the nearest neighbours (Å) after each atom.
Space group Cm (No. 8)
Asymmetric unit:
Ca1 0.0000 0.0000 0.0000 (multiplicity 2)  5 O 2.28-2.54
Ti1 0.2496 0.0000 0.5801 (multiplicity 2)  6 O 1.91-2.11
Ti2 0.2588 0.5000 0.9309 (multiplicity 2)  6 O 1.93-2.12
Ti3 0.4491 0.0000 0.2977 (multiplicity 2)  6 O 1.89-2.05
Ti4 0.4609 0.5000 0.6381 (multiplicity 2)  6 O 1.95-2.10
O1 0.0705 0.0000 0.3771 (multiplicity 2)  3 Ti 1.91-2.00
O2 0.1424 0.0000 0.8527 (multiplicity 2)  3 Ti 1.95-1.96
O3 0.2617 0.5000 0.7303 (multiplicity 2)  3 Ti 1.96-2.00
O4 0.2767 0.5000 0.4740 (multiplicity 2)  3 Ti 1.95-1.99
O5 0.3251 0.5000 0.1820 (multiplicity 2)  3 Ti 1.93-1.98
O6 0.3996 0.0000 0.0431 (multiplicity 2)  3 Ti 2.05-2.12, 2 Ca 2.28
O7 0.4495 0.0000 0.7792 (multiplicity 2)  3 Ti 2.10-2.11, 2 Ca 2.29
O8 0.4688 0.0000 0.5121 (multiplicity 2)  3 Ti 1.89-1.97



Entry 14:
A crystal of NiPW2 relaxed with PBEsol. Source: the Alexandria database, functional SCAN.

Computed properties:
ΔH_f (0 K) ... 302 meV per atom

Unit cell a=3.2916 b=3.9278 c=4.1565 alpha=90.00 beta=90.00 gamma=90.00
With the nearest neighbours (Å) after each atom.
Space group Pmmm (No. 47)
Asymmetric unit:
Ni1 0.0000 0.0000 0.0000 (multiplicity 1)  8 W 2.56-2.86, 4 P 2.65
P1 0.5000 0.0000 0.5000 (multiplicity 1)  8 W 2.56-2.86, 4 Ni 2.65
W1 0.0000 0.5000 0.5000 (multiplicity 1)  4 P 2.56, 4 W 2.65, 4 Ni 2.86
W2 0.5000 0.5000 0.0000 (multiplicity 1)  4 Ni 2.56, 4 W 2.65, 4 P 2.86



Entry 15:
A crystal of ZnFe2C relaxed with PBEsol. Source: the Alexandria database, functional SCAN.

Computed properties:
ΔH_f (0 K) ... 1128 meV per atom

Unit cell a=5.3173 b=5.3173 c=5.3173 alpha=90.00 beta=90.00 gamma=90.00
With the nearest neighbours (Å) after each atom.
Space group Fm-3m (No. 225)
Asymmetric unit:
Zn1 0.0000 0.0000 0.0000 (multiplicity 4)  8 Fe 2.30
Fe1 0.2500 0.2500 0.2500 (multiplicity 8)  4 C 2.30, 4 Zn 2.30
C1 0.0000 0.0000 0.5000 (multiplicity 4)  8 Fe 2.30



Entry 16:
A crystal of Li4WAu relaxed with PBEsol. Source: the Alexandria database, functional SCAN.

Computed properties:
ΔH_f (0 K) ... 406 meV per atom

Unit cell a=6.8542 b=6.8542 c=6.8542 alpha=90.00 beta=90.00 gamma=90.00
With the nearest neighbours (Å) after each atom.
Space group F-43m (No. 216)
Asymmetric unit:
Li1 0.1249 0.1249 0.1249 (multiplicity 16)  6 Li 2.42-2.43
W1 0.0000 0.0000 0.5000 (multiplicity 4)  12 Li 2.84, 4 Au 2.97
Au1 0.2500 0.2500 0.7500 (multiplicity 4)  12 Li 2.84, 4 W 2.97



Entry 17:
A crystal of BaSrS2 relaxed with PBEsol. Source: the Alexandria database, functional SCAN.

Computed properties:
Raw formation energy ... -2134 meV/atom
ΔE to the lowest computed polymorph ... 0.0000 eV per atom

Unit cell a=7.4188 b=7.4188 c=7.4188 alpha=90.00 beta=90.00 gamma=90.00
With the nearest neighbours (Å) after each atom.
Space group Fm-3m (No. 225)
Asymmetric unit:
Ba1 0.0000 0.0000 0.0000 (multiplicity 4)  8 S 3.21
Sr1 0.0000 0.0000 0.5000 (multiplicity 4)  8 S 3.21
S1 0.2500 0.2500 0.2500 (multiplicity 8)  4 Ba 3.21, 4 Sr 3.21



Entry 18:
A crystal of KScTe relaxed with PBEsol. Source: the Alexandria database, functional SCAN.

Computed properties:
Raw formation energy ... -587 meV/atom
ΔE to the lowest computed polymorph ... 0.0000 eV per atom

Unit cell a=4.0563 b=4.0563 c=7.5585 alpha=90.00 beta=90.00 gamma=120.00
With the nearest neighbours (Å) after each atom.
Space group P3m1 (No. 156)
Asymmetric unit:
K1 0.0000 0.0000 0.0000 (multiplicity 1)  3 Te 3.46
Sc1 0.3333 0.6667 0.5456 (multiplicity 1)  3 Te 2.83
Te1 0.6667 0.3333 0.3361 (multiplicity 1)  3 Sc 2.83



Entry 19:
A crystal of Mg3ScRu relaxed with PBEsol. Source: the Alexandria database, functional SCAN.

Computed properties:
ΔH_f (0 K) ... 285 meV per atom

Unit cell a=4.8477 b=4.8477 c=4.8477 alpha=90.00 beta=90.00 gamma=90.00
With the nearest neighbours (Å) after each atom.
Space group Pm-3m (No. 221)
Asymmetric unit:
Mg1 0.0000 0.0000 0.5000 (multiplicity 3)  2 Ru 2.42
Sc1 0.5000 0.5000 0.5000 (multiplicity 1)  12 Mg 3.43
Ru1 0.0000 0.0000 0.0000 (multiplicity 1)  6 Mg 2.42



Entry 20:
A crystal of In2NiMo relaxed with PBEsol. Source: the Alexandria database, functional SCAN.

Computed properties:
ΔE to the lowest computed polymorph ... 0.1506 eV per atom
ΔH_f (0 K) ... 389 meV per atom

Unit cell a=6.4141 b=6.4141 c=6.4141 alpha=90.00 beta=90.00 gamma=90.00
With the nearest neighbours (Å) after each atom.
Space group Fm-3m (No. 225)
Asymmetric unit:
In1 0.2500 0.2500 0.2500 (multiplicity 8)  4 Mo 2.78, 4 Ni 2.78
Ni1 0.0000 0.0000 0.0000 (multiplicity 4)  8 In 2.78
Mo1 0.0000 0.0000 0.5000 (multiplicity 4)  8 In 2.78



Computed M_tot (Bohr magnetons per cell) in order:
0.150, 0.000, 13.457, 0.000, 0.011, 0.000, 2.656, 0.048, 0.000, 0.000, 0.000, 0.018, 3.799, 0.000, 19.136, 10.659, 0.000, 0.377, 0.144, 5.199